# RhW2I, optimized geometry, DFT GGA-PBEsol
# Energy relative to the elements, uncorrected, eV/atom: 0.933
# Density of states at the Fermi level, states/eV/f.u.: 4.49
# M_tot, μB per cell: 0.00
data_RhW2I
_chemical_formula_sum 'Rh4 W8 I4'
_cell_length_a 6.386
_cell_length_b 6.386
_cell_length_c 6.386
_cell_angle_alpha 90.00
_cell_angle_beta 90.00
_cell_angle_gamma 90.00
_space_group_name_H-M_alt 'F m -3 m'
_space_group_IT_number 225
_space_group_name_Hall '-F 4 2 3'
loop_
_atom_site_label
_atom_site_fract_x
_atom_site_fract_y
_atom_site_fract_z
Rh1 0.000 0.000 0.000
W1 0.250 0.250 0.250
I1 0.000 0.000 0.500